[1]
Computed, not measured: a geometry-optimized MgMo2Se structure at the GGA-PBE level of DFT.

- space group = No. 119

Lattice parameters (Å, degrees): 4.5507 4.5507 4.5507 120.16 120.16 89.72
Sites, in units of the cell vectors:
1 Mg 0.7500 0.2500 0.5000
2 Mo 0.0000 0.0000 0.0000
3 Mo 0.2500 0.7500 0.5000
4 Se 0.5000 0.5000 0.0000


[2]
Computed, not measured: a geometry-optimized La4Pm3Sm4 structure at the GGA-PBE level of DFT.

- space group = No. 71
- ΔE_f (meV/atom) = 121

Lattice parameters (Å, degrees): 3.6550 9.6642 12.3843 112.97 98.49 90.00
Sites, in units of the cell vectors:
1 La 0.6458 0.4761 0.2916
2 La 0.3542 0.1845 0.7084
3 La 0.3542 0.5239 0.7084
4 La 0.6458 0.8155 0.2916
5 Pm 0.8946 0.8946 0.7891
6 Pm 0.1054 0.1054 0.2109
7 Pm 0.0000 0.5000 0.0000
8 Sm 0.7360 0.2360 0.4719
9 Sm 0.2640 0.7640 0.5281
10 Sm 0.5000 0.8138 0.0000
11 Sm 0.5000 0.1862 0.0000


[3]
Computed, not measured: a geometry-optimized CeDy3Er2 structure at the GGA-PBE level of DFT.

- space group = No. 36
- ΔE_f (meV/atom) = 271

Lattice parameters (Å, degrees): 5.9124 8.1458 8.1458 74.60 90.00 90.00
Last column: magnetic moment on the atom in μB.
Sites, in units of the cell vectors:
1 Ce 0.8994 0.9408 0.9408  0.56
2 Ce 0.3994 0.0592 0.0592  0.56
3 Dy 0.0226 0.8691 0.5298  -0.01
4 Dy 0.5226 0.4702 0.1309  -0.01
5 Dy 0.0226 0.5298 0.8691  -0.01
6 Dy 0.5226 0.1309 0.4702  -0.01
7 Dy 0.4280 0.8156 0.8156  0.01
8 Dy 0.9280 0.1844 0.1844  0.01
9 Er 0.5427 0.7370 0.3954  0.01
10 Er 0.0427 0.6046 0.2630  0.01
11 Er 0.5427 0.3954 0.7370  0.01
12 Er 0.0427 0.2630 0.6046  0.01


[4]
Computed, not measured: a geometry-optimized Sr2AgIr structure at the GGA-PBE level of DFT.

- space group = No. 122
- ΔE_f (meV/atom) = 173

Lattice parameters (Å, degrees): 8.2921 8.2921 6.6914 51.71 51.71 90.00
Sites, in units of the cell vectors:
1 Sr 0.6571 0.1250 0.2500
2 Sr 0.0929 0.6250 0.2500
3 Sr 0.3750 0.3429 0.7500
4 Sr 0.8750 0.9071 0.7500
5 Ir 0.0000 0.0000 0.0000
6 Ir 0.7500 0.2500 0.5000
7 Ag 0.5000 0.5000 0.0000
8 Ag 0.2500 0.7500 0.5000


[5]
Computed, not measured: a geometry-optimized LiAgO3 structure at the GGA-PBE level of DFT.

- space group = No. 221

Lattice parameters (Å, degrees): 4.0049 4.0049 4.0049 90.00 90.00 90.00
Last column: magnetic moment on the atom in μB.
Sites, in units of the cell vectors:
1 O 0.0000 0.5000 0.0000  -0.35
2 O 0.0000 0.0000 0.5000  -0.21
3 O 0.5000 0.0000 0.0000  -0.63
4 Ag 0.0000 0.0000 0.0000  -0.11
5 Li 0.5000 0.5000 0.5000  0.01


[6]
Computed, not measured: a geometry-optimized CuSeCl2 structure at the GGA-PBE level of DFT.

- space group = No. 122

Lattice parameters (Å, degrees): 6.4944 6.4944 6.4924 59.99 59.99 90.00
Sites, in units of the cell vectors:
1 Cu 0.5000 0.5000 0.0000
2 Cu 0.2500 0.7500 0.5000
3 Se 0.0000 0.0000 0.0000
4 Se 0.7500 0.2500 0.5000
5 Cl 0.5481 0.1250 0.2500
6 Cl 0.2019 0.6250 0.2500
7 Cl 0.3750 0.4519 0.7500
8 Cl 0.8750 0.7981 0.7500


[7]
Computed, not measured: a geometry-optimized Sr2LiRe structure at the GGA-PBE level of DFT.

- space group = No. 216
- ΔE_f (meV/atom) = 1005

Lattice parameters (Å, degrees): 5.3588 5.3588 5.3588 60.00 60.00 60.00
Last column: magnetic moment on the atom in μB.
Sites, in units of the cell vectors:
1 Li 0.5000 0.5000 0.5000  -0.03
2 Re 0.7500 0.7500 0.7500  1.83
3 Sr 0.0000 0.0000 0.0000  -0.01
4 Sr 0.2500 0.2500 0.2500  -0.07


[8]
Computed, not measured: a geometry-optimized LaTb6Y12 structure at the GGA-PBE level of DFT.

- space group = No. 148
- ΔE_f (meV/atom) = 23

Lattice parameters (Å, degrees): 8.7653 9.4657 9.4657 69.08 72.02 107.98
Sites, in units of the cell vectors:
1 La 0.0000 0.0000 0.0000
2 Tb 0.4218 0.4738 0.2099
3 Tb 0.0520 0.6837 0.5262
4 Tb 0.3683 0.7901 0.6837
5 Tb 0.5782 0.5262 0.7901
6 Tb 0.9480 0.3163 0.4738
7 Tb 0.6317 0.2099 0.3163
8 Y 0.5235 0.8411 0.2654
9 Y 0.6824 0.8935 0.8411
10 Y 0.7890 0.2654 0.8935
11 Y 0.4765 0.1589 0.7346
12 Y 0.3176 0.1065 0.1589
13 Y 0.2110 0.7346 0.1065
14 Y 0.2635 0.4232 0.6295
15 Y 0.1070 0.3705 0.0527
16 Y 0.1597 0.0527 0.5768
17 Y 0.7365 0.5768 0.3705
18 Y 0.8930 0.6295 0.9473
19 Y 0.8403 0.9473 0.4232


no.,final energy (Ha/atom)
1,-0.2332
2,-0.1721
3,-0.1669
4,-0.1322
5,-0.1399
6,-0.0956
7,-0.1259
8,-0.2124